{"formula": "CsBPbF6", "functional": "PBE", "state": "relaxed", "spacegroup": "P1", "magnetic_moment_mub_per_cell": 0.00, "dft_energy_ev_per_atom": -5.222, "raw_formation_energy_ev_per_atom": -2.73, "cell": [[-4.8847, 4.7150, 1.1586], [-6.1666, -0.9032, -0.8791], [-0.6753, -1.4356, 4.6964]], "species": ["F", "F", "F", "F", "F", "F", "Cs", "B", "Pb"], "fractional_positions": [[0.5299, 0.4622, 0.6151], [0.5900, 0.2125, 0.2462], [0.2091, 0.5372, 0.3986], [0.4439, 0.1563, 0.6537], [0.0421, 0.1796, 0.3983], [0.8626, 0.5761, 0.8764], [0.0724, 0.9431, 0.9093], [0.4458, 0.3331, 0.4777], [0.8039, 0.5998, 0.4247]]}